Record 1
Computed, not measured: crystalline Nb2FeRh9 at its relaxed geometry at the PBE level of DFT.

abc: 3.879 3.879 11.596
angles: 90.00 90.00 90.00
Element x y z (fractional)
1 Rh 0.000 0.500 0.500
2 Rh 0.500 0.500 0.332
3 Rh 0.500 0.000 0.500
4 Rh 0.500 0.000 0.837
5 Rh 0.500 0.500 0.000
6 Rh 0.500 0.000 0.163
7 Rh 0.000 0.500 0.837
8 Rh 0.000 0.500 0.163
9 Rh 0.500 0.500 0.668
10 Nb 0.000 0.000 0.671
11 Nb 0.000 0.000 0.329
12 Fe 0.000 0.000 0.000

## Properties
* DFT formation energy: -0.362 eV per atom



Record 2
Computed, not measured: crystalline Y3Ag3SbS8 at its relaxed geometry at the PBE level of DFT.

abc: 7.958 7.956 7.793
angles: 120.86 90.00 120.01
Element x y z (fractional)
1 Y 0.500 0.500 0.500
2 Y 0.500 0.000 0.500
3 Y 0.000 0.500 0.500
4 Ag 0.000 0.500 0.000
5 Ag 0.000 0.000 0.000
6 Ag 0.500 0.500 0.000
7 S 0.759 0.997 0.734
8 S 0.762 0.524 0.266
9 S 0.241 0.003 0.266
10 S 0.238 0.997 0.734
11 S 0.254 0.507 0.263
12 S 0.238 0.476 0.734
13 S 0.762 0.003 0.266
14 S 0.746 0.493 0.737
15 Sb 0.000 0.000 0.500

## Properties
* uncorrected formation energy: -101.1 kJ/mol of atoms



Record 3
Computed, not measured: crystalline Cs3DyTh2S6 at its relaxed geometry at the PBE level of DFT.

abc: 7.182 7.182 8.478
angles: 98.12 98.12 120.00
Element x y z (fractional)
1 Th 0.667 0.333 0.000
2 Th 0.333 0.667 0.000
3 Cs 0.167 0.833 0.500
4 Cs 0.500 0.500 0.500
5 Cs 0.833 0.167 0.500
6 S 0.392 0.062 0.187
7 S 0.267 0.267 0.813
8 S 0.938 0.608 0.813
9 S 0.062 0.392 0.187
10 S 0.733 0.733 0.187
11 S 0.608 0.938 0.813
12 Dy 0.000 0.000 0.000

## Properties
* uncorrected formation energy: -164.4 kJ/mol of atoms



Record 4
Computed, not measured: crystalline Sb2PbW at its relaxed geometry at the PBE level of DFT.

abc: 6.138 6.038 3.117
angles: 83.83 72.76 115.58
Element x y z (fractional)
1 Pb 0.500 0.500 0.000
2 Sb 0.000 0.000 0.000
3 Sb 0.500 0.000 0.500
4 W 0.000 0.500 0.500

## Properties
* uncorrected formation energy: 93.7 kJ/mol of atoms